# 1
Below is a relaxed structure of Na2Sn2Hg, with properties calculated at the PBE level. Values from VASP.

Values from the calculation:
Energy relative to the lowest polymorph listed for this composition ... 0.0764 eV/atom
Crystal system ... tetragonal
SG ... No. 127
Energy of formation ... -93 meV/atom

The structure in Quantum ESPRESSO input format:
```
&SYSTEM
  ibrav = 0, nat = 10, ntyp = 3
/
ATOMIC_SPECIES
Na 22.99 Na.upf
Hg 200.59 Hg.upf
Sn 118.71 Sn.upf
CELL_PARAMETERS angstrom
-7.635 4.006 -2.476
-0.956 -5.937 -6.656
-1.828 -2.141 2.173
ATOMIC_POSITIONS angstrom
Na -2.996 -4.400 -3.946
Na -6.934 -3.149 -6.028
Na -7.424 0.327 -3.014
Na -3.485 -0.923 -0.932
Hg 0.000 0.000 0.000
Hg -4.296 -0.966 -4.566
Sn -3.807 -3.717 -6.866
Sn -7.361 -0.082 -6.275
Sn -4.784 1.785 -2.266
Sn -1.230 -1.849 -2.857
```

---

# 2
Below is a relaxed structure of Na6SnHg, with properties calculated at the PBE level. Values from VASP.

Values from the calculation:
Energy relative to the lowest polymorph listed for this composition ... 0.0123 eV/atom
Crystal system ... tetragonal
SG ... No. 123
Energy of formation ... -119 meV/atom

The structure in Quantum ESPRESSO input format:
```
&SYSTEM
  ibrav = 0, nat = 8, ntyp = 3
/
ATOMIC_SPECIES
Na 22.99 Na.upf
Sn 118.71 Sn.upf
Hg 200.59 Hg.upf
CELL_PARAMETERS angstrom
-1.898 -2.566 4.004
-3.973 -1.512 -2.853
4.521 -7.207 -2.475
ATOMIC_POSITIONS angstrom
Na -2.936 -2.039 0.575
Na -0.675 -5.643 -0.662
Na 0.167 -3.062 1.391
Na 2.456 -6.711 0.137
Na -0.871 -2.535 -2.037
Na 1.418 -6.184 -3.291
Sn 0.000 0.000 0.000
Hg 2.260 -3.604 -1.238
```

---

# 3
Below is a relaxed structure of Na4Sn2Hg, with properties calculated at the PBE level. Values from VASP.

Values from the calculation:
Energy relative to the lowest polymorph listed for this composition ... 0.0000 eV/atom
Crystal system ... monoclinic
SG ... No. 12
Energy of formation ... -166 meV/atom

The structure in Quantum ESPRESSO input format:
```
&SYSTEM
  ibrav = 0, nat = 7, ntyp = 3
/
ATOMIC_SPECIES
Na 22.99 Na.upf
Sn 118.71 Sn.upf
Hg 200.59 Hg.upf
CELL_PARAMETERS angstrom
-3.844 2.157 0.786
2.419 -2.108 4.867
4.966 5.127 10.222
ATOMIC_POSITIONS angstrom
Na -0.549 1.412 6.198
Na 4.090 3.764 9.676
Na 1.356 4.270 7.668
Na 2.185 0.906 8.206
Sn 2.963 5.426 12.360
Sn 0.578 -0.250 3.515
Hg 2.483 2.564 5.111
```

---

# 4
Below is a relaxed structure of Na7SnHg12, with properties calculated at the PBE level. Values from VASP.

Values from the calculation:
Crystal system ... trigonal
SG ... No. 166
Energy of formation ... -175 meV/atom

The structure in Quantum ESPRESSO input format:
```
&SYSTEM
  ibrav = 0, nat = 20, ntyp = 3
/
ATOMIC_SPECIES
Na 22.99 Na.upf
Sn 118.71 Sn.upf
Hg 200.59 Hg.upf
CELL_PARAMETERS angstrom
6.657 0.000 -1.839
-3.522 8.476 -4.104
0.387 0.000 10.047
ATOMIC_POSITIONS angstrom
Na -0.748 5.412 -3.035
Na 5.296 0.000 2.207
Na 0.748 5.412 3.035
Na 3.329 0.000 -0.920
Na 2.774 3.064 1.069
Na -1.774 8.476 1.897
Na 4.270 3.064 7.139
Sn 0.000 0.000 0.000
Hg 0.000 4.517 0.000
Hg -0.654 2.258 6.276
Hg 1.954 6.198 -4.252
Hg 2.232 0.000 2.112
Hg 1.042 2.258 3.770
Hg -1.954 6.198 4.252
Hg 5.476 2.278 -0.148
Hg 2.480 6.217 0.333
Hg 4.812 0.000 6.095
Hg 1.181 2.278 -1.691
Hg 4.177 6.217 -2.172
Hg 3.522 3.959 4.104
```

---

# 5
Below is a relaxed structure of Na3Sn2Hg9, with properties calculated at the PBE level. Values from VASP.

Values from the calculation:
Crystal system ... monoclinic
SG ... No. 12
Energy of formation ... -106 meV/atom

The structure in Quantum ESPRESSO input format:
```
&SYSTEM
  ibrav = 0, nat = 14, ntyp = 3
/
ATOMIC_SPECIES
Na 22.99 Na.upf
Sn 118.71 Sn.upf
Hg 200.59 Hg.upf
CELL_PARAMETERS angstrom
-3.780 1.151 -4.472
-3.567 -8.359 0.864
-2.872 6.683 4.570
ATOMIC_POSITIONS angstrom
Na 0.000 0.000 0.000
Na -3.770 1.785 1.711
Na -6.450 -2.310 -0.749
Sn -3.095 -2.248 -1.944
Sn -4.252 -4.960 -1.664
Hg -1.783 -4.179 0.432
Hg -6.772 -3.422 2.404
Hg -3.447 2.897 -1.443
Hg -5.645 -0.781 2.131
Hg -4.574 0.256 -1.170
Hg -4.519 -5.243 1.442
Hg -5.701 4.718 -0.481
Hg -2.848 -1.328 1.037
Hg -7.372 0.803 -0.076
```

---

# 6
Below is a relaxed structure of Na2Sn3Hg4, with properties calculated at the PBE level. Values from VASP.

Values from the calculation:
Crystal system ... monoclinic
SG ... No. 12
Energy of formation ... -121 meV/atom

The structure in Quantum ESPRESSO input format:
```
&SYSTEM
  ibrav = 0, nat = 9, ntyp = 3
/
ATOMIC_SPECIES
Na 22.99 Na.upf
Sn 118.71 Sn.upf
Hg 200.59 Hg.upf
CELL_PARAMETERS angstrom
5.020 0.000 0.000
-2.510 4.286 -0.697
0.000 -0.800 11.731
ATOMIC_POSITIONS angstrom
Na 2.510 1.809 2.162
Na 0.000 1.677 8.872
Sn 2.510 -0.044 7.294
Sn 0.000 0.000 0.000
Sn 0.000 3.530 3.740
Hg 0.000 3.019 0.600
Hg 2.510 2.846 7.040
Hg 0.000 0.639 3.994
Hg 2.510 0.466 10.433
```

---

# 7
Below is a relaxed structure of NaSn2Hg, with properties calculated at the PBE level. Values from VASP.

Values from the calculation:
Crystal system ... tetragonal
SG ... No. 123
Energy of formation ... -93 meV/atom

The structure in Quantum ESPRESSO input format:
```
&SYSTEM
  ibrav = 0, nat = 4, ntyp = 3
/
ATOMIC_SPECIES
Na 22.99 Na.upf
Hg 200.59 Hg.upf
Sn 118.71 Sn.upf
CELL_PARAMETERS angstrom
-0.705 4.727 -0.016
-4.414 -0.663 -1.216
-1.205 -0.165 4.464
ATOMIC_POSITIONS angstrom
Na -3.162 1.950 1.616
Hg -0.353 2.363 -0.008
Sn -0.602 -0.082 2.232
Sn -2.207 -0.331 -0.608
```

---

# 8
Below is a relaxed structure of NaSnHg2, with properties calculated at the PBE level. Values from VASP.

Values from the calculation:
Crystal system ... orthorhombic
SG ... No. 63
Energy of formation ... -146 meV/atom

The structure in Quantum ESPRESSO input format:
```
&SYSTEM
  ibrav = 0, nat = 8, ntyp = 3
/
ATOMIC_SPECIES
Na 22.99 Na.upf
Sn 118.71 Sn.upf
Hg 200.59 Hg.upf
CELL_PARAMETERS angstrom
3.425 0.000 -0.429
0.000 5.090 0.000
-0.207 0.000 12.239
ATOMIC_POSITIONS angstrom
Na 1.996 1.273 2.046
Na 1.222 3.818 9.765
Sn 0.687 1.273 5.484
Sn 2.531 3.818 6.326
Hg 3.125 1.273 11.069
Hg 0.093 3.818 0.741
Hg 2.760 1.273 8.149
Hg 0.458 3.818 3.661
```

---

# 9
Below is a relaxed structure of Na2Sn2Hg, with properties calculated at the PBE level. Values from VASP.

Values from the calculation:
Energy relative to the lowest polymorph listed for this composition ... 0.0955 eV/atom
Crystal system ... tetragonal
SG ... No. 127
Energy of formation ... -74 meV/atom

The structure in Quantum ESPRESSO input format:
```
&SYSTEM
  ibrav = 0, nat = 10, ntyp = 3
/
ATOMIC_SPECIES
Na 22.99 Na.upf
Hg 200.59 Hg.upf
Sn 118.71 Sn.upf
CELL_PARAMETERS angstrom
9.508 0.000 0.000
0.000 9.508 0.000
0.000 0.000 3.270
ATOMIC_POSITIONS angstrom
Na 2.941 7.695 0.000
Na 7.695 6.567 0.000
Na 6.567 1.813 0.000
Na 1.813 2.941 0.000
Hg 0.000 0.000 0.000
Hg 4.754 4.754 0.000
Sn 1.008 5.762 1.635
Sn 5.762 8.500 1.635
Sn 8.500 3.746 1.635
Sn 3.746 1.008 1.635
```

---

# 10
Below is a relaxed structure of Na7Sn2Hg2, with properties calculated at the PBE level. Values from VASP.

Values from the calculation:
Energy relative to the lowest polymorph listed for this composition ... 0.0673 eV/atom
Crystal system ... orthorhombic
SG ... No. 65
Energy of formation ... -102 meV/atom

The structure in Quantum ESPRESSO input format:
```
&SYSTEM
  ibrav = 0, nat = 11, ntyp = 3
/
ATOMIC_SPECIES
Na 22.99 Na.upf
Sn 118.71 Sn.upf
Hg 200.59 Hg.upf
CELL_PARAMETERS angstrom
6.374 -0.001 -1.655
0.005 9.183 0.003
-2.049 -0.003 6.259
ATOMIC_POSITIONS angstrom
Na 5.349 2.863 1.478
Na 1.145 6.313 5.432
Na -1.019 6.315 3.129
Na 3.186 2.865 -0.825
Na 0.000 0.000 0.000
Na 2.169 7.309 2.303
Na 2.162 1.870 2.304
Sn 4.011 9.181 0.573
Sn 0.319 -0.002 4.034
Hg 3.295 4.588 3.505
Hg 1.036 4.590 1.102
```

---

# 11
Below is a relaxed structure of NaSn3Hg3, with properties calculated at the PBE level. Values from VASP.

Values from the calculation:
Energy relative to the lowest polymorph listed for this composition ... 0.2449 eV/atom
Crystal system ... cubic
SG ... No. 223
Energy of formation ... 183 meV/atom

The structure in Quantum ESPRESSO input format:
```
&SYSTEM
  ibrav = 0, nat = 14, ntyp = 3
/
ATOMIC_SPECIES
Na 22.99 Na.upf
Hg 200.59 Hg.upf
Sn 118.71 Sn.upf
CELL_PARAMETERS angstrom
8.041 0.000 0.000
0.000 8.041 0.000
0.000 0.000 8.041
ATOMIC_POSITIONS angstrom
Na 4.021 4.021 4.021
Na 0.000 0.000 0.000
Hg 0.000 2.010 4.021
Hg 0.000 6.031 4.021
Hg 4.021 0.000 6.031
Hg 6.031 4.021 0.000
Hg 4.021 0.000 2.010
Hg 2.010 4.021 0.000
Sn 2.010 0.000 4.021
Sn 0.000 4.021 2.010
Sn 4.021 6.031 0.000
Sn 6.031 0.000 4.021
Sn 0.000 4.021 6.031
Sn 4.021 2.010 0.000
```

---

# 12
Below is a relaxed structure of Na2Sn2Hg, with properties calculated at the PBE level. Values from VASP.

Values from the calculation:
Energy relative to the lowest polymorph listed for this composition ... 0.0978 eV/atom
Crystal system ... tetragonal
SG ... No. 139
Energy of formation ... -71 meV/atom

The structure in Quantum ESPRESSO input format:
```
&SYSTEM
  ibrav = 0, nat = 5, ntyp = 3
/
ATOMIC_SPECIES
Na 22.99 Na.upf
Hg 200.59 Hg.upf
Sn 118.71 Sn.upf
CELL_PARAMETERS angstrom
4.280 0.000 0.000
0.000 4.280 0.000
2.140 2.140 8.311
ATOMIC_POSITIONS angstrom
Na 2.140 2.140 1.632
Na 4.280 4.280 6.680
Hg 0.000 0.000 0.000
Sn 4.280 2.140 4.156
Sn 2.140 4.280 4.156
```

---

Which of these has the highest energy of formation?
NaSn3Hg3